The following is a meta-GGA SCAN calculation of a crystal of LaNi3 relaxed with PBEsol, from the Alexandria database.

Cell lengths 3.6133, 3.6133, 5.9937 Å; angles 90.00, 90.00, 120.00 degrees
Space group P-6m2 (No. 187)
Inequivalent atoms, fractional coordinates:
1 La 0.0000 0.0000 0.0000 (multiplicity 1)
2 Ni 0.0000 0.0000 0.5000 (multiplicity 1)
3 Ni 0.6667 0.3333 0.3084 (multiplicity 2)

* ΔH_f (0 K): 34.7 kJ per mole of atoms
* uncorrected energy: -1.6571 Ry/atom
* N(E_F): 1.0806 states/eV/atom

The following is a meta-GGA SCAN calculation of a crystal of Cs2Mo4O13 relaxed with PBEsol, from the Alexandria database.

Cell lengths 8.455, 8.622, 10.462 Å; angles 107.07, 103.99, 109.09 degrees
Space group P-1 (No. 2)
Inequivalent atoms, fractional coordinates:
1 Cs 0.074 0.123 0.302 (multiplicity 2)
2 Cs 0.348 0.806 0.575 (multiplicity 2)
3 Mo 0.125 0.443 0.734 (multiplicity 2)
4 Mo 0.150 0.713 0.054 (multiplicity 2)
5 Mo 0.465 0.285 0.962 (multiplicity 2)
6 Mo 0.496 0.575 0.285 (multiplicity 2)
7 O 0.000 0.219 0.627 (multiplicity 2)
8 O 0.012 0.545 0.658 (multiplicity 2)
9 O 0.019 0.433 0.886 (multiplicity 2)
10 O 0.019 0.785 0.959 (multiplicity 2)
11 O 0.278 0.899 0.213 (multiplicity 2)
12 O 0.299 0.705 0.935 (multiplicity 2)
13 O 0.313 0.500 0.665 (multiplicity 2)
14 O 0.349 0.065 0.845 (multiplicity 2)
15 O 0.350 0.477 0.356 (multiplicity 2)
16 O 0.351 0.400 0.871 (multiplicity 2)
17 O 0.358 0.615 0.138 (multiplicity 2)
18 O 0.387 0.206 0.588 (multiplicity 2)
19 O 0.390 0.302 0.104 (multiplicity 2)

* uncorrected energy: -1.3076 Ry/atom
* formation energy without anion corrections: -2.20 eV per atom
* N(E_F): 0.0000 states/eV/atom

> What is the formula in the second record?

Cs2Mo4O13

> Which of these has the lowest uncorrected energy?

LaNi3